# 1
DFT (GGA-PBE) results for an optimized crystal structure of TaNb2Cr.

abc: 3.192 3.192 6.541
angles: 90.00 90.00 90.00
Space group P4/mmm (No. 123)
One atom of each set of equivalent atoms:
Ta 0.000 0.000 0.000 [1 per cell]
Nb 0.500 0.500 0.267 [2 per cell]
Cr 0.000 0.000 0.500 [1 per cell]

Summary:
VASP energy   -10.36 eV/atom
Energy above the lowest structure with this stoichiometry   0 meV/atom
Formation energy from the elements   44 meV per atom
Density   10.4 Mg/m³



# 2
DFT (GGA-PBE) results for an optimized crystal structure of TaNb2Cr.

abc: 7.190 7.190 5.472
angles: 90.00 90.00 90.00
Space group I-42d (No. 122)
One atom of each set of equivalent atoms:
Ta 0.000 0.000 0.000 [4 per cell]
Nb 0.219 0.750 0.625 [8 per cell]
Cr 0.000 0.000 0.500 [4 per cell]

Summary:
VASP energy   -9.79 eV/atom
Energy above the lowest structure with this stoichiometry   572 meV/atom
Formation energy from the elements   616 meV per atom
Density   9.8 Mg/m³



# 3
DFT (GGA-PBE) results for an optimized crystal structure of TaNb2Cr.

abc: 3.0306 3.0306 25.9221
angles: 90.00 90.00 120.00
Space group R-3m (No. 166, hexagonal axes)
One atom of each set of equivalent atoms:
Ta 0.0000 0.0000 0.0000 [3 per cell]
Nb 0.0000 0.0000 0.2413 [6 per cell]
Cr 0.0000 0.0000 0.5000 [3 per cell]

Summary:
VASP energy   -10.08 eV/atom
Energy above the lowest structure with this stoichiometry   275 meV/atom
Formation energy from the elements   319 meV per atom
Density   10.1 Mg/m³



# 4
DFT (GGA-PBE) results for an optimized crystal structure of Ta2NbCr.

abc: 3.181 3.181 6.557
angles: 90.00 90.00 90.00
Space group P4/mmm (No. 123)
One atom of each set of equivalent atoms:
Ta 0.000 0.000 0.231 [2 per cell]
Nb 0.500 0.500 0.500 [1 per cell]
Cr 0.500 0.500 0.000 [1 per cell]

Summary:
VASP energy   -10.84 eV/atom
Formation energy from the elements   12 meV per atom
Density   12.7 Mg/m³



Repeat the second record exactly.
DFT (GGA-PBE) results for an optimized crystal structure of TaNb2Cr.

abc: 7.190 7.190 5.472
angles: 90.00 90.00 90.00
Space group I-42d (No. 122)
One atom of each set of equivalent atoms:
Ta 0.000 0.000 0.000 [4 per cell]
Nb 0.219 0.750 0.625 [8 per cell]
Cr 0.000 0.000 0.500 [4 per cell]

Summary:
VASP energy   -9.79 eV/atom
Energy above the lowest structure with this stoichiometry   572 meV/atom
Formation energy from the elements   616 meV per atom
Density   9.8 Mg/m³



What did the first record say?
DFT (GGA-PBE) results for an optimized crystal structure of TaNb2Cr.

abc: 3.192 3.192 6.541
angles: 90.00 90.00 90.00
Space group P4/mmm (No. 123)
One atom of each set of equivalent atoms:
Ta 0.000 0.000 0.000 [1 per cell]
Nb 0.500 0.500 0.267 [2 per cell]
Cr 0.000 0.000 0.500 [1 per cell]

Summary:
VASP energy   -10.36 eV/atom
Energy above the lowest structure with this stoichiometry   0 meV/atom
Formation energy from the elements   44 meV per atom
Density   10.4 Mg/m³